Here is Mg4Sn6Pt5 after structural relaxation from Alexandria. Energies are from PBE.

abc: 4.5100 4.5100 55.4628
angles: 90.00 90.00 120.00
Space group R3m (No. 160, hexagonal axes)
One atom of each set of equivalent atoms:
1 Mg 0.0000 0.0000 0.0000
2 Mg 0.0000 0.0000 0.1967
3 Mg 0.0000 0.0000 0.3982
4 Mg 0.0000 0.0000 0.7972
5 Sn 0.0000 0.0000 0.0987
6 Sn 0.0000 0.0000 0.3010
7 Sn 0.0000 0.0000 0.4975
8 Sn 0.0000 0.0000 0.5985
9 Sn 0.0000 0.0000 0.6990
10 Sn 0.0000 0.0000 0.8959
11 Pt 0.0000 0.0000 0.0486
12 Pt 0.0000 0.0000 0.2484
13 Pt 0.0000 0.0000 0.4477
14 Pt 0.0000 0.0000 0.6487
15 Pt 0.0000 0.0000 0.8469

Values from the calculation:
ρ	9101	kg/m³
uncorrected energy	-4.7115	eV per atom
DFT formation energy	-0.672	eV/atom

---

Here is Dy5SiSe5 after structural relaxation from Alexandria. Energies are from PBE.

abc: 12.972 5.762 8.160
angles: 90.00 108.36 90.00
Space group C2/m (No. 12)
One atom of each set of equivalent atoms:
1 Dy 0.000 0.000 0.000
2 Dy 0.159 0.500 0.830
3 Dy 0.161 0.500 0.329
4 Si 0.000 0.500 0.000
5 Se 0.000 0.500 0.500
6 Se 0.169 0.000 0.836
7 Se 0.170 0.000 0.335

Values from the calculation:
ρ	7087	kg/m³
uncorrected energy	-5.8708	eV per atom
energy relative to the elements, uncorrected	-1.70	eV/atom

---

Here is GaCoAs3 after structural relaxation from Alexandria. Energies are from PBE.

abc: 4.631 4.631 4.631
angles: 90.00 90.00 90.00
Space group Pm-3m (No. 221)
One atom of each set of equivalent atoms:
1 Ga 0.000 0.000 0.000
2 Co 0.500 0.500 0.500
3 As 0.000 0.500 0.500

Values from the calculation:
ρ	5909	kg/m³
uncorrected energy	-4.4221	eV per atom
DFT formation energy	0.394	eV/atom

---

Here is PrAg2Bi after structural relaxation from Alexandria. Energies are from PBE.

abc: 3.3459 3.3459 33.5041
angles: 90.00 90.00 120.00
Space group R-3m (No. 166, hexagonal axes)
One atom of each set of equivalent atoms:
1 Pr 0.0000 0.0000 0.0000
2 Ag 0.0000 0.0000 0.0910
3 Bi 0.0000 0.0000 0.5000

Values from the calculation:
ρ	8674	kg/m³
uncorrected energy	-3.2912	eV per atom
DFT formation energy	0.300	eV/atom

---

Here is Pu2MnGa12 after structural relaxation from Alexandria. Energies are from PBE.

abc: 5.953 5.953 15.980
angles: 90.00 90.00 90.00
Space group P4/nbm (No. 125, origin choice 2)
One atom of each set of equivalent atoms:
1 Pu 0.250 0.750 0.248
2 Mn 0.250 0.750 0.000
3 Ga 0.000 0.000 0.091
4 Ga 0.078 0.578 0.430
5 Ga 0.250 0.250 0.192
6 Ga 0.250 0.250 0.344

Values from the calculation:
ρ	8090	kg/m³
uncorrected energy	-5.1430	eV per atom
DFT formation energy	-0.199	eV/atom

---

Here is Pr2SiPIr6 after structural relaxation from Alexandria. Energies are from PBE.

abc: 5.467 8.687 7.946
angles: 90.00 90.00 90.00
Space group Pmmn (No. 59, origin choice 2)
One atom of each set of equivalent atoms:
1 Pr 0.250 0.016 0.214
2 Si 0.250 0.750 0.760
3 P 0.250 0.250 0.749
4 Ir 0.005 0.750 0.492
5 Ir 0.009 0.750 0.018
6 Ir 0.250 0.502 0.601

Values from the calculation:
ρ	13150	kg/m³
uncorrected energy	-7.8987	eV per atom
energy relative to the elements, uncorrected	-0.54	eV/atom

---

Here is MgZnO2 after structural relaxation from Alexandria. Energies are from PBE.

abc: 5.720 6.576 5.240
angles: 90.00 90.00 90.00
Space group Pna2_1 (No. 33)
One atom of each set of equivalent atoms:
1 Mg 0.087 0.125 0.000
2 Zn 0.083 0.625 0.000
3 O 0.082 0.122 0.382
4 O 0.083 0.627 0.385

Values from the calculation:
ρ	4102	kg/m³
uncorrected energy	-5.2384	eV per atom
energy relative to the elements, uncorrected	-2.04	eV/atom

---

Here is AcTbSbO2 after structural relaxation from Alexandria. Energies are from PBE.

abc: 4.023 4.023 14.043
angles: 90.00 90.00 90.00
Space group I4mm (No. 107)
One atom of each set of equivalent atoms:
1 Ac 0.000 0.000 0.000
2 Tb 0.000 0.000 0.326
3 Sb 0.000 0.000 0.669
4 O 0.000 0.500 0.402

Values from the calculation:
ρ	7885	kg/m³
uncorrected energy	-7.1907	eV per atom
energy relative to the elements, uncorrected	-2.64	eV/atom

---

Here is NaSi2Sn2Au7 after structural relaxation from Alexandria. Energies are from PBE.

abc: 6.140 6.197 13.075
angles: 90.00 90.93 90.00
Space group C2/m (No. 12)
One atom of each set of equivalent atoms:
1 Na 0.000 0.000 0.000
2 Si 0.023 0.500 0.247
3 Sn 0.132 0.000 0.381
4 Au 0.000 0.500 0.000
5 Au 0.164 0.500 0.423
6 Au 0.241 0.255 0.844

Values from the calculation:
ρ	11319	kg/m³
uncorrected energy	-3.6566	eV per atom
energy relative to the elements, uncorrected	-0.06	eV/atom

---

Here is CoNiGe2 after structural relaxation from Alexandria. Energies are from PBE.

abc: 2.8384 2.8384 24.6813
angles: 90.00 90.00 120.00
Space group R-3m (No. 166, hexagonal axes)
One atom of each set of equivalent atoms:
1 Co 0.0000 0.0000 0.0000
2 Ni 0.0000 0.0000 0.5000
3 Ge 0.0000 0.0000 0.4068

Values from the calculation:
ρ	7605	kg/m³
uncorrected energy	-5.4201	eV per atom
DFT formation energy	0.110	eV/atom

---

Here is ZnHg3 after structural relaxation from Alexandria. Energies are from PBE.

abc: 10.1941 10.1941 3.3023
angles: 90.00 90.00 120.00
Space group R-3m (No. 166, hexagonal axes)
One atom of each set of equivalent atoms:
1 Zn 0.0000 0.0000 0.0000
2 Hg 0.0000 0.5000 0.0000

Values from the calculation:
ρ	11183	kg/m³
uncorrected energy	-0.4160	eV per atom
DFT formation energy	0.129	eV/atom

---

Here is Pm4Pu3ScSe8 after structural relaxation from Alexandria. Energies are from PBE.

abc: 8.2476 8.2476 20.4023
angles: 90.00 90.00 120.00
Space group R-3m (No. 166, hexagonal axes)
One atom of each set of equivalent atoms:
1 Pm 0.0000 0.0000 0.0000
2 Pm 0.0000 0.5000 0.0000
3 Pu 0.0000 0.5000 0.5000
4 Sc 0.0000 0.0000 0.5000
5 Se 0.0000 0.0000 0.2482
6 Se 0.0085 0.5043 0.2461

Values from the calculation:
ρ	8242	kg/m³
uncorrected energy	-7.7109	eV per atom
energy relative to the elements, uncorrected	-1.70	eV/atom

---

| no. | calculated volume (Å³/atom) |
| --- | --- |
| 1 | 21.71 |
| 2 | 26.31 |
| 3 | 19.86 |
| 4 | 27.07 |
| 5 | 18.88 |
| 6 | 18.87 |
| 7 | 12.32 |
| 8 | 22.73 |
| 9 | 20.73 |
| 10 | 14.35 |
| 11 | 24.77 |
| 12 | 25.04 |